Entry from Alexandria: PaRu3C after structural relaxation (GGA-PBE).

The value obtained for the density is 12.39 Mg/m³. For the energy of formation, the calculation gives -0.312 eV per atom. For the uncorrected energy, the calculation gives -9.622 eV per atom.

The structure belongs to space group Pm-3m (No. 221); the cell edges are 4.183, 4.183 and 4.183 Å and the angles 90.00°, 90.00° and 90.00°. The asymmetric unit holds Pa at (0.000, 0.000, 0.000), Ru at (0.000, 0.500, 0.500) and C at (0.500, 0.500, 0.500).